DFT (GGA-PBE) results for crystalline SrEr2Ag at its relaxed geometry.

Computed properties:
polymorph energy (0 for the lowest one): 0.00 kJ/mol of atoms

```
data_SrEr2Ag
_chemical_formula_sum 'Sr1 Er2 Ag1'
_cell_length_a 3.6528
_cell_length_b 3.6528
_cell_length_c 9.5969
_cell_angle_alpha 90.00
_cell_angle_beta 90.00
_cell_angle_gamma 90.00
_space_group_name_H-M_alt 'P 4/m m m'
_space_group_IT_number 123
_space_group_name_Hall '-P 4 2'
loop_
_atom_site_label
_atom_site_fract_x
_atom_site_fract_y
_atom_site_fract_z
Sr1 0.0000 0.0000 0.0000
Er1 0.5000 0.5000 0.3193
Ag1 0.0000 0.0000 0.5000
```


DFT (GGA-PBE) results for crystalline SrEr2Ag at its relaxed geometry.

Computed properties:
polymorph energy (0 for the lowest one): 23.99 kJ/mol of atoms

```
data_SrEr2Ag
_chemical_formula_sum 'Sr3 Er6 Ag3'
_cell_length_a 3.6885
_cell_length_b 3.6885
_cell_length_c 33.8869
_cell_angle_alpha 90.00
_cell_angle_beta 90.00
_cell_angle_gamma 120.00
_space_group_name_H-M_alt 'R -3 m'
_space_group_IT_number 166
_space_group_name_Hall '-R 3 2"'
loop_
_atom_site_label
_atom_site_fract_x
_atom_site_fract_y
_atom_site_fract_z
Sr1 0.0000 0.0000 0.0000
Er1 0.0000 0.0000 0.1041
Ag1 0.0000 0.0000 0.5000
```


Result set for energy relative to the elements: -0.0171 0.2316 eV per atom, one per record in the order listed.
Result set for energy: -13.7 -38.2 eV/cell, one per record in the order listed.
Result set for volume: 128.1 399.3 Å³ per cell, one per record in the order listed.